A plane-wave DFT calculation with PBE was carried out for SrOs3 after structural relaxation.

Cell: 7.7622 7.7622 4.2300 Å, 90.00 90.00 140.10°
With the nearest neighbours (Å) after each atom.
Fractional coordinates of all 8 atoms:
Sr1 0.7169 0.2831 0.7500  10 Os 3.20-3.56, 4 Sr 3.52
Sr2 0.2831 0.7169 0.2500  10 Os 3.20-3.56, 4 Sr 3.52
Os1 0.0937 0.9063 0.7500  6 Os 2.61-2.69
Os2 0.9063 0.0937 0.2500  6 Os 2.61-2.69
Os3 0.6635 0.7852 0.7500  3 Os 2.38-2.61
Os4 0.3365 0.2148 0.2500  3 Os 2.38-2.61
Os5 0.7852 0.6635 0.2500  3 Os 2.38-2.61
Os6 0.2148 0.3365 0.7500  3 Os 2.38-2.61

The total energy is -66.05 eV per cell. As for the space group: Cmcm.